[1]
Below is a relaxed structure of Rb2NaAg2F6, with properties calculated at the PBE level.

Cell lengths 11.7158, 6.3686, 6.4456 Å; angles 90.00, 116.60, 90.00 degrees
Space group C2/m (No. 12)
Inequivalent atoms, fractional coordinates:
Rb: 0.2194 0.0000 0.1541 (multiplicity 4)
Na: 0.0000 0.0000 0.5000 (multiplicity 2)
Ag: 0.0773 0.5000 0.2589 (multiplicity 4)
F: 0.0622 0.2589 0.7967 (multiplicity 8)
F: 0.2214 0.0000 0.6037 (multiplicity 4)

Output
The uncorrected formation energy comes out at -1901 meV/atom. The value obtained for the energy is -3.74 eV/atom. As for the total magnetization: 1.0 μB per formula unit.


[2]
Below is a relaxed structure of RbNa2AgF4, with properties calculated at the PBE level.

Cell lengths 3.5637, 12.4686, 12.5380 Å; angles 90.00, 90.00, 90.00 degrees
Space group Cmcm (No. 63)
Inequivalent atoms, fractional coordinates:
Rb: 0.0000 0.1506 0.2500 (multiplicity 4)
Na: 0.0000 0.3729 0.0253 (multiplicity 8)
Ag: 0.0000 0.1218 0.7500 (multiplicity 4)
F: 0.0000 0.0000 0.0000 (multiplicity 4)
F: 0.0000 0.2397 0.6041 (multiplicity 8)
F: 0.0000 0.4917 0.2500 (multiplicity 4)

Output
The uncorrected formation energy comes out at -2188 meV/atom. The value obtained for the energy is -3.93 eV/atom. As for the total magnetization: 0.0 μB per formula unit.


[3]
Below is a relaxed structure of RbNa2AgF, with properties calculated at the PBE level.

Cell lengths 4.8828, 4.8828, 5.6292 Å; angles 90.00, 90.00, 90.00 degrees
Space group P4/mmm (No. 123)
Inequivalent atoms, fractional coordinates:
Rb: 0.0000 0.0000 0.0000 (multiplicity 1)
Na: 0.0000 0.5000 0.5000 (multiplicity 2)
Ag: 0.5000 0.5000 0.0000 (multiplicity 1)
F: 0.0000 0.0000 0.5000 (multiplicity 1)

Output
The uncorrected formation energy comes out at -950 meV/atom. The value obtained for the energy is -2.62 eV/atom. As for the total magnetization: 0.0 μB per formula unit.